1.
{
  "formula": "BaY3O",
  "functional": "PBEsol",
  "state": "relaxed",
  "e_form_raw_ev_per_atom": -0.8598,
  "sg": "Pm-3m (221)",
  "lattice": [[4.997, 0.000, 0.000], [0.000, 4.997, 0.000], [0.000, 0.000, 4.997]],
  "species": ["Ba", "Y", "Y", "Y", "O"],
  "fractional_positions": [[0.000, 0.000, 0.000], [0.000, 0.500, 0.500], [0.500, 0.000, 0.500], [0.500, 0.500, 0.000], [0.500, 0.500, 0.500]]
}

2.
{
  "formula": "LiCu2F6",
  "functional": "PBEsol",
  "state": "relaxed",
  "de_polymorph_ev_per_atom": 0.044,
  "e_form_raw_ev_per_atom": -1.7626,
  "sg": "C2/m (12)",
  "lattice": [[2.529, -4.395, 0.000], [2.529, 4.395, 0.000], [-0.004, 0.000, 4.356]],
  "species": ["Li", "Cu", "Cu", "F", "F", "F", "F", "F", "F"],
  "fractional_positions": [[0.000, 0.000, 0.000], [0.333, 0.667, 0.500], [0.667, 0.333, 0.500], [0.001, 0.347, 0.737], [0.346, 0.346, 0.263], [0.347, 0.001, 0.737], [0.653, 0.999, 0.263], [0.654, 0.654, 0.737], [0.999, 0.653, 0.263]]
}

3.
{
  "formula": "LiLaCr3",
  "functional": "PBEsol",
  "state": "relaxed",
  "ef_kj_per_mol_fu": 933,
  "sg": "Pm-3m (221)",
  "lattice": [[4.519, 0.000, 0.000], [0.000, 4.519, 0.000], [0.000, 0.000, 4.519]],
  "species": ["Li", "La", "Cr", "Cr", "Cr"],
  "fractional_positions": [[0.000, 0.000, 0.000], [0.500, 0.500, 0.500], [0.000, 0.500, 0.500], [0.500, 0.000, 0.500], [0.500, 0.500, 0.000]]
}

4.
{
  "formula": "SrCoCl",
  "functional": "PBEsol",
  "state": "relaxed",
  "e_form_raw_ev_per_atom": 0.0659,
  "sg": "F-43m (216)",
  "lattice": [[0.000, 3.540, 3.540], [3.540, 0.000, 3.540], [3.540, 3.540, 0.000]],
  "species": ["Sr", "Co", "Cl"],
  "fractional_positions": [[0.000, 0.000, 0.000], [0.250, 0.250, 0.250], [0.750, 0.750, 0.750]]
}

5.
{
  "formula": "Ta2BiPbCl",
  "functional": "PBEsol",
  "state": "relaxed",
  "e_form_raw_ev_per_atom": 1.0112,
  "sg": "P4/mmm (123)",
  "lattice": [[4.577, 0.000, 0.000], [0.000, 4.577, 0.000], [0.000, 0.000, 5.599]],
  "species": ["Ta", "Ta", "Bi", "Pb", "Cl"],
  "fractional_positions": [[0.000, 0.500, 0.000], [0.500, 0.000, 0.000], [0.000, 0.000, 0.500], [0.500, 0.500, 0.500], [0.500, 0.500, 0.000]]
}

6.
{
  "formula": "Li3Cu",
  "functional": "PBEsol",
  "state": "relaxed",
  "ef_kj_per_mol_fu": 27,
  "sg": "R-3m (166)",
  "lattice": [[4.391, 2.535, 0.859], [-4.391, 2.535, 0.859], [0.000, -5.070, 0.859]],
  "species": ["Li", "Li", "Li", "Cu"],
  "fractional_positions": [[0.000, 0.500, 0.500], [0.500, 0.000, 0.500], [0.500, 0.500, 0.000], [0.000, 0.000, 0.000]]
}

7.
{
  "formula": "CaCuSi2",
  "functional": "PBEsol",
  "state": "relaxed",
  "e_form_raw_ev_per_atom": -0.0713,
  "sg": "P4mm (99)",
  "lattice": [[3.238, 0.000, 0.000], [0.000, 3.238, 0.000], [0.000, 0.000, 6.416]],
  "species": ["Ca", "Cu", "Si", "Si"],
  "fractional_positions": [[0.000, 0.000, 0.000], [0.500, 0.500, 0.323], [0.000, 0.000, 0.490], [0.500, 0.500, 0.689]]
}

8.
{
  "formula": "Ti2Cu2Pb",
  "functional": "PBEsol",
  "state": "relaxed",
  "ef_kj_per_mol_fu": 117,
  "sg": "I4/mmm (139)",
  "lattice": [[-1.639, 1.639, 7.886], [1.639, -1.639, 7.886], [1.639, 1.639, -7.886]],
  "species": ["Ti", "Ti", "Cu", "Cu", "Pb"],
  "fractional_positions": [[0.120, 0.120, 0.000], [0.880, 0.880, 0.000], [0.250, 0.750, 0.500], [0.750, 0.250, 0.500], [0.500, 0.500, 0.000]]
}

9.
{
  "formula": "KTa2Re",
  "functional": "PBEsol",
  "state": "relaxed",
  "de_polymorph_ev_per_atom": 0.615,
  "ef_kj_per_mol_fu": 532,
  "sg": "Cmmm (65)",
  "lattice": [[2.963, -4.729, 0.000], [2.963, 4.729, 0.000], [0.000, 0.000, 2.657]],
  "species": ["K", "Ta", "Ta", "Re"],
  "fractional_positions": [[0.000, 0.000, 0.000], [0.000, 0.500, 0.500], [0.500, 0.000, 0.500], [0.500, 0.500, 0.000]]
}

10.
{
  "formula": "ScAl2Hg",
  "functional": "PBEsol",
  "state": "relaxed",
  "ef_kj_per_mol_fu": -113,
  "sg": "Pmmm (47)",
  "lattice": [[3.103, 0.000, 0.000], [0.000, 4.396, 0.000], [0.000, 0.000, 5.602]],
  "species": ["Sc", "Al", "Al", "Hg"],
  "fractional_positions": [[0.000, 0.000, 0.000], [0.500, 0.500, 0.233], [0.500, 0.500, 0.767], [0.500, 0.000, 0.500]]
}

11.
{
  "formula": "Li2V3TeO8",
  "functional": "PBEsol",
  "state": "relaxed",
  "de_polymorph_ev_per_atom": 0.052,
  "e_form_raw_ev_per_atom": -1.9796,
  "sg": "R-3m (166)",
  "lattice": [[2.894, 1.671, 5.222], [-2.894, 1.671, 5.222], [0.000, -3.342, 5.222]],
  "species": ["Li", "Li", "V", "V", "V", "Te", "O", "O", "O", "O", "O", "O", "O", "O"],
  "fractional_positions": [[0.125, 0.125, 0.125], [0.875, 0.875, 0.875], [0.000, 0.500, 0.500], [0.500, 0.000, 0.500], [0.500, 0.500, 0.000], [0.500, 0.500, 0.500], [0.252, 0.252, 0.721], [0.252, 0.721, 0.252], [0.265, 0.265, 0.265], [0.279, 0.748, 0.748], [0.721, 0.252, 0.252], [0.735, 0.735, 0.735], [0.748, 0.279, 0.748], [0.748, 0.748, 0.279]]
}

12.
{
  "formula": "ZrTlCuS3",
  "functional": "PBEsol",
  "state": "relaxed",
  "e_form_raw_ev_per_atom": -1.0316,
  "sg": "Cmcm (63)",
  "lattice": [[1.835, -6.960, 0.000], [1.835, 6.960, 0.000], [0.000, 0.000, 9.650]],
  "species": ["Zr", "Zr", "Tl", "Tl", "Cu", "Cu", "S", "S", "S", "S", "S", "S"],
  "fractional_positions": [[0.000, 0.000, 0.000], [0.000, 0.000, 0.500], [0.254, 0.746, 0.750], [0.746, 0.254, 0.250], [0.464, 0.536, 0.250], [0.536, 0.464, 0.750], [0.064, 0.936, 0.250], [0.375, 0.625, 0.052], [0.375, 0.625, 0.448], [0.625, 0.375, 0.552], [0.625, 0.375, 0.948], [0.936, 0.064, 0.750]]
}

13.
{
  "formula": "PbW2I",
  "functional": "PBEsol",
  "state": "relaxed",
  "e_form_raw_ev_per_atom": 1.3823,
  "sg": "Fm-3m (225)",
  "lattice": [[0.000, 3.344, 3.344], [3.344, 0.000, 3.344], [3.344, 3.344, 0.000]],
  "species": ["Pb", "W", "W", "I"],
  "fractional_positions": [[0.000, 0.000, 0.000], [0.250, 0.250, 0.250], [0.750, 0.750, 0.750], [0.500, 0.500, 0.500]]
}

14.
{
  "formula": "BaZn2Cu",
  "functional": "PBEsol",
  "state": "relaxed",
  "ef_kj_per_mol_fu": -54,
  "sg": "R3m (160)",
  "lattice": [[2.150, 1.241, 5.697], [-2.150, 1.241, 5.697], [0.000, -2.482, 5.697]],
  "species": ["Ba", "Zn", "Zn", "Cu"],
  "fractional_positions": [[0.000, 0.000, 0.000], [0.509, 0.509, 0.509], [0.812, 0.812, 0.812], [0.187, 0.187, 0.187]]
}

15.
{
  "formula": "Cu3Sb",
  "functional": "PBEsol",
  "state": "relaxed",
  "e_form_raw_ev_per_atom": 0.0761,
  "sg": "Pm-3m (221)",
  "lattice": [[3.835, 0.000, 0.000], [0.000, 3.835, 0.000], [0.000, 0.000, 3.835]],
  "species": ["Cu", "Cu", "Cu", "Sb"],
  "fractional_positions": [[0.000, 0.000, 0.500], [0.000, 0.500, 0.000], [0.500, 0.000, 0.000], [0.500, 0.500, 0.500]]
}

16.
{
  "formula": "ScFeMo2",
  "functional": "PBEsol",
  "state": "relaxed",
  "de_polymorph_ev_per_atom": 0.080,
  "ef_kj_per_mol_fu": 62,
  "sg": "Cmm2 (35)",
  "lattice": [[1.596, -2.197, 0.000], [1.596, 2.197, 0.000], [0.000, 0.000, 8.607]],
  "species": ["Sc", "Fe", "Mo", "Mo"],
  "fractional_positions": [[0.000, 0.000, 0.000], [0.500, 0.500, 0.242], [0.000, 0.000, 0.464], [0.500, 0.500, 0.718]]
}

17.
{
  "formula": "NaLaW3",
  "functional": "PBEsol",
  "state": "relaxed",
  "ef_kj_per_mol_fu": 1347,
  "sg": "Pm-3m (221)",
  "lattice": [[4.708, 0.000, 0.000], [0.000, 4.708, 0.000], [0.000, 0.000, 4.708]],
  "species": ["Na", "La", "W", "W", "W"],
  "fractional_positions": [[0.000, 0.000, 0.000], [0.500, 0.500, 0.500], [0.000, 0.000, 0.500], [0.000, 0.500, 0.000], [0.500, 0.000, 0.000]]
}

18.
{
  "formula": "CaTcSe2",
  "functional": "PBEsol",
  "state": "relaxed",
  "de_polymorph_ev_per_atom": 0.632,
  "e_form_raw_ev_per_atom": -0.1566,
  "sg": "I-4m2 (119)",
  "lattice": [[-1.924, 1.924, 5.728], [1.924, -1.924, 5.728], [1.924, 1.924, -5.728]],
  "species": ["Ca", "Tc", "Se", "Se"],
  "fractional_positions": [[0.000, 0.000, 0.000], [0.250, 0.750, 0.500], [0.500, 0.500, 0.000], [0.750, 0.250, 0.500]]
}

19.
{
  "formula": "Rb2Si2Se5",
  "functional": "PBEsol",
  "state": "relaxed",
  "e_form_raw_ev_per_atom": -0.8112,
  "sg": "C2/c (15)",
  "lattice": [[7.973, -7.973, 0.000], [7.973, 7.973, 0.000], [-2.225, 0.000, 9.035]],
  "species": ["Rb", "Rb", "Rb", "Rb", "Rb", "Rb", "Rb", "Rb", "Si", "Si", "Si", "Si", "Si", "Si", "Si", "Si", "Se", "Se", "Se", "Se", "Se", "Se", "Se", "Se", "Se", "Se", "Se", "Se", "Se", "Se", "Se", "Se", "Se", "Se", "Se", "Se"],
  "fractional_positions": [[0.052, 0.211, 0.117], [0.211, 0.052, 0.617], [0.211, 0.477, 0.621], [0.477, 0.211, 0.121], [0.523, 0.789, 0.879], [0.789, 0.523, 0.379], [0.789, 0.948, 0.383], [0.948, 0.789, 0.883], [0.135, 0.731, 0.387], [0.267, 0.530, 0.102], [0.269, 0.865, 0.113], [0.470, 0.733, 0.398], [0.530, 0.267, 0.602], [0.731, 0.135, 0.887], [0.733, 0.470, 0.898], [0.865, 0.269, 0.613], [0.002, 0.246, 0.470], [0.112, 0.546, 0.238], [0.114, 0.886, 0.250], [0.244, 0.357, 0.951], [0.246, 0.002, 0.970], [0.246, 0.681, 0.958], [0.319, 0.754, 0.542], [0.357, 0.244, 0.451], [0.453, 0.547, 0.250], [0.454, 0.888, 0.262], [0.546, 0.112, 0.738], [0.547, 0.453, 0.750], [0.643, 0.756, 0.549], [0.681, 0.246, 0.458], [0.754, 0.319, 0.042], [0.754, 0.998, 0.030], [0.756, 0.643, 0.049], [0.886, 0.114, 0.750], [0.888, 0.454, 0.762], [0.998, 0.754, 0.530]]
}

20.
{
  "formula": "YTlCd2",
  "functional": "PBEsol",
  "state": "relaxed",
  "de_polymorph_ev_per_atom": 0.000,
  "ef_kj_per_mol_fu": -125,
  "sg": "P4/mmm (123)",
  "lattice": [[4.465, 0.000, 0.000], [0.000, 4.465, 0.000], [0.000, 0.000, 4.677]],
  "species": ["Y", "Tl", "Cd", "Cd"],
  "fractional_positions": [[0.000, 0.000, 0.000], [0.500, 0.500, 0.000], [0.000, 0.500, 0.500], [0.500, 0.000, 0.500]]
}

21.
{
  "formula": "ZrRuAu2",
  "functional": "PBEsol",
  "state": "relaxed",
  "de_polymorph_ev_per_atom": 0.025,
  "ef_kj_per_mol_fu": -153,
  "sg": "I4/mmm (139)",
  "lattice": [[-1.943, 1.943, 4.368], [1.943, -1.943, 4.368], [1.943, 1.943, -4.368]],
  "species": ["Zr", "Ru", "Au", "Au"],
  "fractional_positions": [[0.000, 0.000, 0.000], [0.500, 0.500, 0.000], [0.250, 0.750, 0.500], [0.750, 0.250, 0.500]]
}

22.
{
  "formula": "La5CoGe3",
  "functional": "PBEsol",
  "state": "relaxed",
  "ef_kj_per_mol_fu": -494,
  "sg": "P6_3/mcm (193)",
  "lattice": [[8.903, 0.000, 0.000], [-4.452, 7.710, 0.000], [0.000, 0.000, 7.021]],
  "species": ["La", "La", "La", "La", "La", "La", "La", "La", "La", "La", "Co", "Co", "Ge", "Ge", "Ge", "Ge", "Ge", "Ge"],
  "fractional_positions": [[0.000, 0.238, 0.250], [0.000, 0.762, 0.750], [0.238, 0.000, 0.250], [0.238, 0.238, 0.750], [0.333, 0.667, 0.000], [0.333, 0.667, 0.500], [0.667, 0.333, 0.000], [0.667, 0.333, 0.500], [0.762, 0.000, 0.750], [0.762, 0.762, 0.250], [0.000, 0.000, 0.000], [0.000, 0.000, 0.500], [0.000, 0.410, 0.750], [0.000, 0.590, 0.250], [0.410, 0.000, 0.750], [0.410, 0.410, 0.250], [0.590, 0.000, 0.250], [0.590, 0.590, 0.750]]
}